MnCr2HgW after structural relaxation, computed with GGA-PBE.

a b c (Å): 4.130 4.783 4.130
angles (deg): 90.00 90.00 90.00
Positions (direct):
1 Hg 0.000 0.500 0.000
2 W 0.500 0.500 0.500
3 Cr 0.500 0.000 0.000
4 Cr 0.000 0.000 0.500
5 Mn 0.000 0.000 0.000

## Properties
Energy above the lowest structure with this stoichiometry   378.7 meV/atom
Size of the total moment   0.000 μB/atom
E   -0.248 Ha/atom
ρ   11.1 g/cm³
ΔE_f   1.5855 eV per atom
Volume   82 Å³/cell